1.
Computed, not measured: a geometry-optimized SrLi17La structure at the PBE level of DFT.

Cell: 10.1542 10.1542 14.9023 Å, 90.00 90.00 120.00°
Space group R3m (No. 160, hexagonal axes)
Unique sites:
1 Sr 0.0000 0.0000 0.0000 (multiplicity 3)
2 Li 0.0000 0.0000 0.5529 (multiplicity 3)
3 Li 0.0000 0.0000 0.7456 (multiplicity 3)
4 Li 0.9997 0.4998 0.5000 (multiplicity 9)
5 Li 0.0428 0.3726 0.3163 (multiplicity 18)
6 Li 0.1674 0.3348 0.4829 (multiplicity 9)
7 Li 0.1724 0.3449 0.1346 (multiplicity 9)
8 La 0.0000 0.0000 0.3070 (multiplicity 3)

2.
Computed, not measured: a geometry-optimized Sr2LiLa structure at the PBE level of DFT.

ΔE to the lowest computed polymorph in eV/atom: 0.068

Cell: 4.219 6.286 12.367 Å, 90.00 90.00 90.00°
Space group Immm (No. 71)
Unique sites:
1 Sr 0.000 0.000 0.216 (multiplicity 4)
2 Li 0.000 0.500 0.500 (multiplicity 2)
3 La 0.000 0.500 0.000 (multiplicity 2)

3.
Computed, not measured: a geometry-optimized Sr2LiLa structure at the PBE level of DFT.

ΔE to the lowest computed polymorph in eV/atom: 0.012

Cell: 5.544 5.560 10.692 Å, 90.00 90.00 90.00°
Space group Cmmm (No. 65)
Unique sites:
1 Sr 0.000 0.000 0.224 (multiplicity 4)
2 Li 0.000 0.500 0.000 (multiplicity 2)
3 La 0.000 0.500 0.500 (multiplicity 2)

4.
Computed, not measured: a geometry-optimized SrLi2La structure at the PBE level of DFT.

ΔE to the lowest computed polymorph in eV/atom: 0.129

Cell: 6.119 3.632 6.787 Å, 90.00 114.25 90.00°
Space group P2/m (No. 10)
Unique sites:
1 Sr 0.000 0.000 0.000 (multiplicity 1)
2 Li 0.500 0.000 0.500 (multiplicity 1)
3 Li 0.500 0.500 0.000 (multiplicity 1)
4 La 0.000 0.500 0.500 (multiplicity 1)

5.
Computed, not measured: a geometry-optimized Sr2LiLa structure at the PBE level of DFT.

ΔE to the lowest computed polymorph in eV/atom: 0.038

Cell: 14.262 4.056 6.331 Å, 90.00 116.31 90.00°
Space group Cm (No. 8)
Unique sites:
1 Sr 0.000 0.000 0.000 (multiplicity 2)
2 Sr 0.219 0.000 0.721 (multiplicity 2)
3 Li 0.494 0.000 0.493 (multiplicity 2)
4 La 0.282 0.500 0.284 (multiplicity 2)

6.
Computed, not measured: a geometry-optimized SrLi2La structure at the PBE level of DFT.

ΔE to the lowest computed polymorph in eV/atom: 0.045

Cell: 3.739 5.854 11.907 Å, 90.00 90.00 90.00°
Space group Imm2 (No. 44)
Unique sites:
1 Sr 0.000 0.000 0.000 (multiplicity 2)
2 Li 0.000 0.000 0.446 (multiplicity 2)
3 Li 0.000 0.500 0.764 (multiplicity 2)
4 La 0.000 0.500 0.203 (multiplicity 2)

7.
Computed, not measured: a geometry-optimized Sr2LiLa structure at the PBE level of DFT.

ΔE to the lowest computed polymorph in eV/atom: 0.000

Cell: 4.033 4.033 10.087 Å, 90.00 90.00 90.00°
Space group P4mm (No. 99)
Unique sites:
1 Sr 0.000 0.000 0.000 (multiplicity 1)
2 Sr 0.500 0.500 0.320 (multiplicity 1)
3 Li 0.500 0.500 0.790 (multiplicity 1)
4 La 0.000 0.000 0.604 (multiplicity 1)

8.
Computed, not measured: a geometry-optimized Sr2LiLa structure at the PBE level of DFT.

ΔE to the lowest computed polymorph in eV/atom: 0.063

Cell: 6.227 6.227 4.300 Å, 90.00 90.00 90.00°
Space group P4/mmm (No. 123)
Unique sites:
1 Sr 0.000 0.500 0.000 (multiplicity 2)
2 Li 0.000 0.000 0.500 (multiplicity 1)
3 La 0.500 0.500 0.500 (multiplicity 1)

Number 1: formation energy 47 meV per atom, spin magnetization 0.0257 μB per atom. Number 2: formation energy 178 meV per atom, spin magnetization 0.1246 μB per atom. Number 3: formation energy 122 meV per atom, spin magnetization 0.0000 μB per atom. Number 4: formation energy 227 meV per atom, spin magnetization 0.0000 μB per atom. Number 5: formation energy 149 meV per atom, spin magnetization 0.0064 μB per atom. Number 6: formation energy 143 meV per atom, spin magnetization 0.0013 μB per atom. Number 7: formation energy 111 meV per atom, spin magnetization 0.1644 μB per atom. Number 8: formation energy 174 meV per atom, spin magnetization 0.0007 μB per atom.